[1]
Here is a PBEsol-optimized structure of Li2PtO6 from Alexandria. Energies are from SCAN.

Structure (POSCAR):
```
Li2PtO6
1.0
5.266 0.000 0.000
-2.633 4.560 0.000
0.000 0.000 3.786
Li Pt O
2 1 6
Direct
0.333 0.667 0.000 Li
0.667 0.333 0.000 Li
0.000 0.000 0.000 Pt
0.000 0.299 0.719 O
0.000 0.701 0.281 O
0.299 0.000 0.719 O
0.299 0.299 0.281 O
0.701 0.000 0.281 O
0.701 0.701 0.719 O
```

Results
**Final energy**: -115.852 eV/cell
**ΔE_f (raw)**: -0.388 eV per atom
**Space-group type**: P-31m (162)
**N(E_F)**: 0.546 states/eV/atom
**Magnetization**: 0.538 μB per atom



[2]
Here is a PBEsol-optimized structure of Li2PtO2 from Alexandria. Energies are from SCAN.

Structure (POSCAR):
```
Li2PtO2
1.0
-1.535 1.905 4.434
1.535 -1.905 4.434
1.535 1.905 -4.434
Li Pt O
2 1 2
Direct
0.189 0.189 0.000 Li
0.811 0.811 0.000 Li
0.500 0.500 0.000 Pt
0.349 0.849 0.500 O
0.651 0.151 0.500 O
```

Results
**Final energy**: -94.959 eV/cell
**ΔE_f (raw)**: -1.505 eV per atom
**Space-group type**: Immm (71)
**N(E_F)**: 0.000 states/eV/atom
**Magnetization**: 0.000 μB per atom



[3]
Here is a PBEsol-optimized structure of Sr2LiPtO from Alexandria. Energies are from SCAN.

Structure (POSCAR):
```
Sr2LiPtO
1.0
6.008 0.000 0.000
0.000 6.008 0.000
0.000 0.000 3.910
Sr Li Pt O
2 1 1 1
Direct
0.000 0.500 0.000 Sr
0.500 0.000 0.000 Sr
0.000 0.000 0.500 Li
0.500 0.500 0.000 Pt
0.500 0.500 0.500 O
```

Results
**Final energy**: -125.442 eV/cell
**ΔE_f (raw)**: -0.415 eV per atom
**Space-group type**: P4/mmm (123)
**N(E_F)**: 0.645 states/eV/atom
**Magnetization**: 0.091 μB per atom



[4]
Here is a PBEsol-optimized structure of LiZr2PtO from Alexandria. Energies are from SCAN.

Structure (POSCAR):
```
LiZr2PtO
1.0
4.415 0.000 0.000
0.000 4.415 0.000
0.000 0.000 3.718
Li Zr Pt O
1 2 1 1
Direct
0.000 0.000 0.000 Li
0.000 0.500 0.500 Zr
0.500 0.000 0.500 Zr
0.500 0.500 0.000 Pt
0.000 0.000 0.500 O
```

Results
**Final energy**: -149.090 eV/cell
**ΔE_f (raw)**: -1.776 eV per atom
**Space-group type**: P4/mmm (123)
**N(E_F)**: 0.479 states/eV/atom
**Magnetization**: 0.000 μB per atom



[5]
Here is a PBEsol-optimized structure of RbLi3O from Alexandria. Energies are from SCAN.

Structure (POSCAR):
```
RbLi3O
1.0
4.502 0.000 0.000
0.000 4.502 0.000
0.000 0.000 4.502
Rb Li O
1 3 1
Direct
0.000 0.000 0.000 Rb
0.000 0.500 0.500 Li
0.500 0.000 0.500 Li
0.500 0.500 0.000 Li
0.500 0.500 0.500 O
```

Results
**Final energy**: -36.498 eV/cell
**ΔE_f (raw)**: -0.472 eV per atom
**Space-group type**: Pm-3m (221)
**N(E_F)**: 0.129 states/eV/atom
**Magnetization**: 0.000 μB per atom



[6]
Here is a PBEsol-optimized structure of Rb2LiVO4 from Alexandria. Energies are from SCAN.

Structure (POSCAR):
```
Rb2LiVO4
1.0
2.910 -5.821 0.000
2.910 5.821 0.000
0.000 0.000 7.835
Rb Li V O
4 2 2 8
Direct
0.061 0.939 0.500 Rb
0.396 0.604 0.641 Rb
0.604 0.396 0.141 Rb
0.939 0.061 0.000 Rb
0.201 0.799 0.921 Li
0.799 0.201 0.421 Li
0.311 0.689 0.202 V
0.689 0.311 0.702 V
0.117 0.403 0.309 O
0.164 0.836 0.170 O
0.366 0.634 0.999 O
0.403 0.117 0.809 O
0.597 0.883 0.309 O
0.634 0.366 0.499 O
0.836 0.164 0.670 O
0.883 0.597 0.809 O
```

Results
**Final energy**: -211.927 eV/cell
**ΔE_f (raw)**: -2.460 eV per atom
**Space-group type**: Cmc2_1 (36)
**N(E_F)**: 0.000 states/eV/atom
**Magnetization**: 0.000 μB per atom



Which value of magnetization does entry 2 give? 0.000 μB per atom



Copy entry 5 word for word.
Here is a PBEsol-optimized structure of RbLi3O from Alexandria. Energies are from SCAN.

Structure (POSCAR):
```
RbLi3O
1.0
4.502 0.000 0.000
0.000 4.502 0.000
0.000 0.000 4.502
Rb Li O
1 3 1
Direct
0.000 0.000 0.000 Rb
0.000 0.500 0.500 Li
0.500 0.000 0.500 Li
0.500 0.500 0.000 Li
0.500 0.500 0.500 O
```

Results
**Final energy**: -36.498 eV/cell
**ΔE_f (raw)**: -0.472 eV per atom
**Space-group type**: Pm-3m (221)
**N(E_F)**: 0.129 states/eV/atom
**Magnetization**: 0.000 μB per atom